No. 1
DFT (GGA-PBE) results for a geometry-optimized PI3Cl structure.

CIF file:
```
data_PI3Cl
_chemical_formula_sum 'P2 I6 Cl2'
_space_group_name_H-M_alt 'P 1'
_space_group_IT_number 1
_cell_length_a 7.083
_cell_length_b 8.902
_cell_length_c 9.362
_cell_angle_alpha 89.83
_cell_angle_beta 89.76
_cell_angle_gamma 73.18
loop_
_space_group_symop_operation_xyz
'x,y,z'
loop_
_atom_site_label
_atom_site_type_symbol
_atom_site_fract_x
_atom_site_fract_y
_atom_site_fract_z
P1 P 0.000 0.000 0.000
P2 P 0.253 0.279 0.502
I1 I 0.067 0.370 0.271
I2 I 0.067 0.371 0.734
I3 I 0.371 0.990 0.503
I4 I 0.796 0.961 0.796
I5 I 0.806 0.956 0.209
I6 I 0.814 0.486 0.003
Cl1 Cl 0.234 0.797 0.996
Cl2 Cl 0.503 0.349 0.501
```

Summary:
Mass density: 2.628 Mg/m³
ΔE_f (raw): -0.997 eV per formula unit


No. 2
DFT (GGA-PBE) results for a geometry-optimized Si2Ni3P structure.

CIF file:
```
data_Si2Ni3P
_chemical_formula_sum 'Si4 Ni6 P2'
_space_group_name_H-M_alt 'P 1 21/m 1'
_space_group_IT_number 11
_cell_length_a 6.978
_cell_length_b 3.019
_cell_length_c 7.678
_cell_angle_alpha 90.00
_cell_angle_beta 114.71
_cell_angle_gamma 90.00
loop_
_space_group_symop_operation_xyz
'x,y,z'
'-x,-y,-z'
'-x,y+1/2,-z'
'x,-y+1/2,z'
loop_
_atom_site_label
_atom_site_type_symbol
_atom_site_fract_x
_atom_site_fract_y
_atom_site_fract_z
Si1 Si 0.023 0.250 0.165
Si2 Si 0.239 0.750 0.479
Ni1 Ni 0.113 0.250 0.649
Ni2 Ni 0.265 0.250 0.000
Ni3 Ni 0.406 0.250 0.349
P1 P 0.475 0.250 0.819
```

Summary:
Mass density: 5.950 Mg/m³
ΔE_f (raw): -1.982 eV per formula unit


No. 3
DFT (GGA-PBE) results for a geometry-optimized Pr2MgSn structure.

CIF file:
```
data_Pr2MgSn
_chemical_formula_sum 'Pr2 Mg1 Sn1'
_space_group_name_H-M_alt 'P 4/m m m'
_space_group_IT_number 123
_space_group_name_Hall '-P 4 2'
_cell_length_a 5.102
_cell_length_b 5.102
_cell_length_c 4.488
_cell_angle_alpha 90.00
_cell_angle_beta 90.00
_cell_angle_gamma 90.00
loop_
_atom_site_label
_atom_site_type_symbol
_atom_site_fract_x
_atom_site_fract_y
_atom_site_fract_z
Pr1 Pr 0.000 0.500 0.000
Mg1 Mg 0.000 0.000 0.500
Sn1 Sn 0.500 0.500 0.500
```

Summary:
Mass density: 6.038 Mg/m³
Energy: -16.99 eV per formula unit


No. 4
DFT (GGA-PBE) results for a geometry-optimized Li6PaCl12 structure.

CIF file:
```
data_Li6PaCl12
_chemical_formula_sum 'Li18 Pa3 Cl36'
_space_group_name_H-M_alt 'R -3'
_space_group_IT_number 148
_space_group_name_Hall '-R 3'
_cell_length_a 11.3827
_cell_length_b 11.3827
_cell_length_c 14.1683
_cell_angle_alpha 90.00
_cell_angle_beta 90.00
_cell_angle_gamma 120.00
loop_
_atom_site_label
_atom_site_type_symbol
_atom_site_fract_x
_atom_site_fract_y
_atom_site_fract_z
Li1 Li 0.0409 0.2299 0.0754
Pa1 Pa 0.0000 0.0000 0.5000
Cl1 Cl 0.0148 0.1921 0.3974
Cl2 Cl 0.0395 0.2165 0.9037
```

Summary:
Mass density: 2.188 Mg/m³
ΔE_f (raw): -30.924 eV per formula unit


No. 5
DFT (GGA-PBE) results for a geometry-optimized BeCrIr3 structure.

CIF file:
```
data_BeCrIr3
_chemical_formula_sum 'Be1 Cr1 Ir3'
_space_group_name_H-M_alt 'P m -3 m'
_space_group_IT_number 221
_space_group_name_Hall '-P 4 2 3'
_cell_length_a 4.454
_cell_length_b 4.454
_cell_length_c 4.454
_cell_angle_alpha 90.00
_cell_angle_beta 90.00
_cell_angle_gamma 90.00
loop_
_atom_site_label
_atom_site_type_symbol
_atom_site_fract_x
_atom_site_fract_y
_atom_site_fract_z
Be1 Be 0.000 0.000 0.000
Cr1 Cr 0.500 0.500 0.500
Ir1 Ir 0.000 0.500 0.500
```

Summary:
Mass density: 11.981 Mg/m³
Energy: -32.49 eV per formula unit


No. 6
DFT (GGA-PBE) results for a geometry-optimized SrHg2TeMo structure.

CIF file:
```
data_SrHg2TeMo
_chemical_formula_sum 'Sr1 Hg2 Te1 Mo1'
_space_group_name_H-M_alt 'P 4/m m m'
_space_group_IT_number 123
_space_group_name_Hall '-P 4 2'
_cell_length_a 5.758
_cell_length_b 5.758
_cell_length_c 5.177
_cell_angle_alpha 90.00
_cell_angle_beta 90.00
_cell_angle_gamma 90.00
loop_
_atom_site_label
_atom_site_type_symbol
_atom_site_fract_x
_atom_site_fract_y
_atom_site_fract_z
Sr1 Sr 0.000 0.000 0.000
Hg1 Hg 0.000 0.500 0.500
Te1 Te 0.500 0.500 0.500
Mo1 Mo 0.500 0.500 0.000
```

Summary:
Mass density: 6.891 Mg/m³
ΔE_f (raw): 3.184 eV per formula unit


No. 7
DFT (GGA-PBE) results for a geometry-optimized Cd3HOs structure.

CIF file:
```
data_Cd3HOs
_chemical_formula_sum 'Cd3 H1 Os1'
_space_group_name_H-M_alt 'P m -3 m'
_space_group_IT_number 221
_space_group_name_Hall '-P 4 2 3'
_cell_length_a 5.261
_cell_length_b 5.261
_cell_length_c 5.261
_cell_angle_alpha 90.00
_cell_angle_beta 90.00
_cell_angle_gamma 90.00
loop_
_atom_site_label
_atom_site_type_symbol
_atom_site_fract_x
_atom_site_fract_y
_atom_site_fract_z
Cd1 Cd 0.000 0.000 0.500
H1 H 0.500 0.500 0.500
Os1 Os 0.000 0.000 0.000
```

Summary:
Mass density: 6.026 Mg/m³
Energy: -11.36 eV per formula unit


No. 8
DFT (GGA-PBE) results for a geometry-optimized ZnCd6Hg structure.

CIF file:
```
data_ZnCd6Hg
_chemical_formula_sum 'Zn1 Cd6 Hg1'
_space_group_name_H-M_alt 'P 4/m m m'
_space_group_IT_number 123
_space_group_name_Hall '-P 4 2'
_cell_length_a 4.468
_cell_length_b 4.468
_cell_length_c 8.799
_cell_angle_alpha 90.00
_cell_angle_beta 90.00
_cell_angle_gamma 90.00
loop_
_atom_site_label
_atom_site_type_symbol
_atom_site_fract_x
_atom_site_fract_y
_atom_site_fract_z
Zn1 Zn 0.000 0.000 0.000
Cd1 Cd 0.000 0.500 0.239
Cd2 Cd 0.500 0.500 0.000
Cd3 Cd 0.500 0.500 0.500
Hg1 Hg 0.000 0.000 0.500
```

Summary:
Mass density: 8.892 Mg/m³
Energy: -6.71 eV per formula unit


No. 9
DFT (GGA-PBE) results for a geometry-optimized Cs2TeIBr6 structure.

CIF file:
```
data_Cs2TeIBr6
_chemical_formula_sum 'Cs4 Te2 I2 Br12'
_space_group_name_H-M_alt 'I 4/m m m'
_space_group_IT_number 139
_space_group_name_Hall '-I 4 2'
_cell_length_a 8.315
_cell_length_b 8.315
_cell_length_c 12.618
_cell_angle_alpha 90.00
_cell_angle_beta 90.00
_cell_angle_gamma 90.00
loop_
_atom_site_label
_atom_site_type_symbol
_atom_site_fract_x
_atom_site_fract_y
_atom_site_fract_z
Cs1 Cs 0.000 0.500 0.250
Te1 Te 0.000 0.000 0.000
I1 I 0.000 0.000 0.500
Br1 Br 0.000 0.000 0.218
Br2 Br 0.237 0.237 0.000
```

Summary:
Mass density: 3.806 Mg/m³
ΔE_f (raw): -8.792 eV per formula unit


No. 10
DFT (GGA-PBE) results for a geometry-optimized InAgCl2 structure.

CIF file:
```
data_InAgCl2
_chemical_formula_sum 'In4 Ag4 Cl8'
_space_group_name_H-M_alt 'F -4 3 m'
_space_group_IT_number 216
_space_group_name_Hall 'F -4 2 3'
_cell_length_a 7.213
_cell_length_b 7.213
_cell_length_c 7.213
_cell_angle_alpha 90.00
_cell_angle_beta 90.00
_cell_angle_gamma 90.00
loop_
_atom_site_label
_atom_site_type_symbol
_atom_site_fract_x
_atom_site_fract_y
_atom_site_fract_z
In1 In 0.000 0.000 0.000
Ag1 Ag 0.250 0.250 0.750
Cl1 Cl 0.000 0.000 0.500
Cl2 Cl 0.250 0.250 0.250
```

Summary:
Mass density: 5.197 Mg/m³
ΔE_f (raw): -0.918 eV per formula unit


No. 11
DFT (GGA-PBE) results for a geometry-optimized SmPuIn2 structure.

CIF file:
```
data_SmPuIn2
_chemical_formula_sum 'Sm3 Pu3 In6'
_space_group_name_H-M_alt 'R -3 m'
_space_group_IT_number 166
_space_group_name_Hall '-R 3 2"'
_cell_length_a 3.5324
_cell_length_b 3.5324
_cell_length_c 31.7831
_cell_angle_alpha 90.00
_cell_angle_beta 90.00
_cell_angle_gamma 120.00
loop_
_atom_site_label
_atom_site_type_symbol
_atom_site_fract_x
_atom_site_fract_y
_atom_site_fract_z
Sm1 Sm 0.0000 0.0000 0.0000
Pu1 Pu 0.0000 0.0000 0.5000
In1 In 0.0000 0.0000 0.2501
```

Summary:
Mass density: 9.051 Mg/m³
Energy: -25.03 eV per formula unit


No. 12
DFT (GGA-PBE) results for a geometry-optimized TbSmC4 structure.

CIF file:
```
data_TbSmC4
_chemical_formula_sum 'Tb1 Sm1 C4'
_space_group_name_H-M_alt 'P 4/m m m'
_space_group_IT_number 123
_space_group_name_Hall '-P 4 2'
_cell_length_a 3.738
_cell_length_b 3.738
_cell_length_c 6.314
_cell_angle_alpha 90.00
_cell_angle_beta 90.00
_cell_angle_gamma 90.00
loop_
_atom_site_label
_atom_site_type_symbol
_atom_site_fract_x
_atom_site_fract_y
_atom_site_fract_z
Tb1 Tb 0.000 0.000 0.000
Sm1 Sm 0.500 0.500 0.500
C1 C 0.000 0.000 0.397
C2 C 0.500 0.500 0.103
```

Summary:
Mass density: 6.727 Mg/m³
Energy: -47.21 eV per formula unit


> mass density of number 4 (Li6PaCl12)?

2.188 Mg/m³


> mass density of number 5 (BeCrIr3)?

11.981 Mg/m³